Record 1
Material: MnV3Ru2
Method: DFT, PBE
State: optimized geometry

Its energy above the most stable polymorph in this dataset is 0.000 eV/atom. The calculation puts the total magnetization at 0.003 μB/cell. Its formation energy is -262 meV/atom. Its density of states at the Fermi level is 5.886 states/eV/cell. Its density is 8.70 Mg/m³. As for the crystal system: tetragonal.

It has space group P4/mmm (No. 123), with a = 2.947 Å, b = 2.947 Å, c = 9.012 Å, α = 90.00°, β = 90.00° and γ = 90.00°. Symmetry generates all atoms from Mn at (0.000, 0.000, 0.000), V at (0.500, 0.500, 0.153), V at (0.500, 0.500, 0.500) and Ru at (0.000, 0.000, 0.327).


Record 2
Material: MnV3Ru
Method: DFT, PBE
State: optimized geometry

Its energy above the most stable polymorph in this dataset is 1.032 eV/atom. The calculation puts the total magnetization at 0.001 μB/cell. Its formation energy is 824 meV/atom. Its density of states at the Fermi level is 9.524 states/eV/cell. Its density is 6.81 Mg/m³. As for the crystal system: cubic.

It has space group Pm-3m (No. 221), with a = 4.224 Å, b = 4.224 Å, c = 4.224 Å, α = 90.00°, β = 90.00° and γ = 90.00°. Symmetry generates all atoms from Mn at (0.000, 0.000, 0.000), V at (0.000, 0.000, 0.500) and Ru at (0.500, 0.500, 0.500).


Record 3
Material: MnV6Ru3
Method: DFT, PBE
State: optimized geometry

The calculation puts the total magnetization at 0.003 μB/cell. Its formation energy is 1001 meV/atom. Its density of states at the Fermi level is 73.122 states/eV/cell. Its density is 6.79 Mg/m³. As for the crystal system: cubic.

It has space group Fm-3m (No. 225), with a = 8.659 Å, b = 8.659 Å, c = 8.659 Å, α = 90.00°, β = 90.00° and γ = 90.00°. Symmetry generates all atoms from Mn at (0.000, 0.000, 0.000), V at (0.000, 0.000, 0.242), Ru at (0.000, 0.000, 0.500) and Ru at (0.250, 0.250, 0.250).


Record 4
Material: MnVRu2
Method: DFT, PBE
State: optimized geometry

The calculation puts the total magnetization at 15.331 μB/cell. Its formation energy is -159 meV/atom. Its density of states at the Fermi level is 12.702 states/eV/cell. Its density is 9.41 Mg/m³. As for the crystal system: cubic.

It has space group Fm-3m (No. 225), with a = 6.014 Å, b = 6.014 Å, c = 6.014 Å, α = 90.00°, β = 90.00° and γ = 90.00°. Symmetry generates all atoms from Mn at (0.000, 0.000, 0.000), V at (0.000, 0.000, 0.500) and Ru at (0.250, 0.250, 0.250).


Record 5
Material: Mn4VRu5
Method: DFT, PBE
State: optimized geometry

The calculation puts the total magnetization at 13.195 μB/cell. Its formation energy is -51 meV/atom. Its density of states at the Fermi level is 6.159 states/eV/cell. Its density is 9.50 Mg/m³. As for the crystal system: tetragonal.

It has space group P4/mmm (No. 123), with a = 3.011 Å, b = 3.011 Å, c = 14.966 Å, α = 90.00°, β = 90.00° and γ = 90.00°. Symmetry generates all atoms from Mn at (0.000, 0.000, 0.100), Mn at (0.000, 0.000, 0.298), V at (0.000, 0.000, 0.500), Ru at (0.500, 0.500, 0.000), Ru at (0.500, 0.500, 0.200) and Ru at (0.500, 0.500, 0.403).


Record 6
Material: MnV2Ru5
Method: DFT, PBE
State: optimized geometry

The calculation puts the total magnetization at 3.557 μB/cell. Its formation energy is -78 meV/atom. Its density of states at the Fermi level is 18.889 states/eV/cell. Its density is 10.09 Mg/m³. As for the crystal system: tetragonal.

It has space group I4/mmm (No. 139), with a = 5.395 Å, b = 5.395 Å, c = 7.486 Å, α = 90.00°, β = 90.00° and γ = 90.00°. Symmetry generates all atoms from Mn at (0.000, 0.000, 0.000), V at (0.000, 0.500, 0.000), Ru at (0.000, 0.000, 0.500) and Ru at (0.250, 0.250, 0.250).